[1]
The following is a PBE calculation of a geometry-optimized Na3Ho2SbS6 structure, from Alexandria via LeMat-Bulk.

Cell: 6.901 11.954 7.058 Å, 90.00 109.01 90.00°
Space group C2/m (No. 12)
Asymmetric unit:
Na: 0.000 0.000 0.000 x2
Na: 0.000 0.336 0.000 x4
Ho: 0.000 0.167 0.500 x4
Sb: 0.000 0.500 0.500 x2
S: 0.239 0.000 0.726 x4
S: 0.244 0.332 0.727 x8

Computed properties:
As for the formation energy (no corrections): -1.454 eV per atom. The calculation puts the total magnetization at 0.000 μB per formula unit. The calculation puts the density of states at the Fermi level at 0.0 states/eV per cell.

[2]
The following is a PBE calculation of a geometry-optimized Na3HoSc2S6 structure, from Alexandria via LeMat-Bulk.

Cell: 6.646 11.515 7.006 Å, 90.00 108.48 90.00°
Space group C2/m (No. 12)
Asymmetric unit:
Na: 0.000 0.000 0.000 x2
Na: 0.000 0.335 0.000 x4
Ho: 0.000 0.500 0.500 x2
Sc: 0.000 0.167 0.500 x4
S: 0.229 0.000 0.720 x4
S: 0.246 0.328 0.719 x8

Computed properties:
As for the formation energy (no corrections): -1.775 eV per atom. The calculation puts the total magnetization at 0.000 μB per formula unit. The calculation puts the density of states at the Fermi level at 0.0 states/eV per cell.

- What is the formation energy (no corrections) in the second record?
  -1.775 eV per atom